# 1
# KPt4Pb

KPt4Pb at its PBEsol-relaxed geometry (meta-GGA SCAN, Alexandria).

Cell and atoms, written as POSCAR:
```
KPt4Pb
1.0
5.407 0.000 0.000
2.704 4.683 0.000
2.704 1.561 4.415
Pt Pb K
4 1 1
Cartesian
5.407 4.686 1.654 Pt
6.762 2.340 1.654 Pt
4.052 2.340 1.654 Pt
5.407 3.122 3.867 Pt
0.000 0.000 0.000 Pb
8.111 4.683 3.311 K
```

## Properties
Electronic total energy: -366.298 eV per formula unit
Crystal system: cubic
ρ: 15.25 g/cm3
Size of the total moment: 0.000 μB/f.u.


# 2
# KPtPb2

KPtPb2 at its PBEsol-relaxed geometry (meta-GGA SCAN, Alexandria).

Cell and atoms, written as POSCAR:
```
KPtPb2
1.0
3.481 0.000 0.000
0.000 3.481 0.000
0.000 0.000 8.574
K Pb Pt
1 2 1
Cartesian
1.741 1.741 0.000 K
0.000 0.000 2.684 Pb
0.000 0.000 5.890 Pb
1.741 1.741 4.287 Pt
```

## Properties
Electronic total energy: -230.938 eV per formula unit
Crystal system: tetragonal
ρ: 10.37 g/cm3
Size of the total moment: 0.000 μB/f.u.


# 3
# KPtPb2

KPtPb2 at its PBEsol-relaxed geometry (meta-GGA SCAN, Alexandria).

Cell and atoms, written as POSCAR:
```
KPtPb2
1.0
-2.517 -3.707 -0.760
1.839 -3.609 -2.074
1.594 -4.878 4.926
Pb K Pt
2 1 1
Cartesian
1.419 -4.644 4.367 Pb
0.409 -8.774 0.676 Pb
0.246 -3.070 0.571 K
0.893 -6.680 2.450 Pt
```

## Properties
Electronic total energy: -231.479 eV per formula unit
Crystal system: trigonal
ρ: 9.09 g/cm3
Size of the total moment: 0.000 μB/f.u.


# 4
# KPtPb2

KPtPb2 at its PBEsol-relaxed geometry (meta-GGA SCAN, Alexandria).

Cell and atoms, written as POSCAR:
```
KPtPb2
1.0
-2.165 1.152 3.753
-1.974 -2.755 -2.971
4.677 -3.909 3.898
K Pb Pt
1 2 1
Cartesian
-1.083 0.576 1.877 K
0.648 -2.937 3.954 Pb
-0.110 -2.575 0.727 Pb
2.339 -1.954 1.949 Pt
```

## Properties
Electronic total energy: -231.418 eV per formula unit
Crystal system: monoclinic
ρ: 9.08 g/cm3
Size of the total moment: 0.000 μB/f.u.


# 5
# KPtPb2

KPtPb2 at its PBEsol-relaxed geometry (meta-GGA SCAN, Alexandria).

Cell and atoms, written as POSCAR:
```
KPtPb2
1.0
-1.219 -3.006 1.097
-1.641 -1.285 -5.343
6.288 -0.166 1.187
Pb Pt K
2 1 1
Cartesian
1.481 -3.530 -2.684 Pb
1.947 -0.926 -0.375 Pb
-0.609 -1.503 0.549 Pt
-0.821 -0.643 -2.672 K
```

## Properties
Electronic total energy: -230.994 eV per formula unit
Crystal system: orthorhombic
ρ: 10.04 g/cm3
Size of the total moment: 0.000 μB/f.u.


# 6
# KRh2Pb2

KRh2Pb2 at its PBEsol-relaxed geometry (meta-GGA SCAN, Alexandria).

Cell and atoms, written as POSCAR:
```
KRh2Pb2
1.0
4.343 0.000 0.000
0.000 4.343 0.000
-2.171 -2.171 6.340
Pb Rh K
2 2 1
Cartesian
0.000 0.000 4.686 Pb
2.171 2.171 1.654 Pb
2.171 0.000 3.170 Rh
0.000 2.171 3.170 Rh
0.000 0.000 0.000 K
```

## Properties
Electronic total energy: -228.131 eV per formula unit
Crystal system: tetragonal
ρ: 9.16 g/cm3
Size of the total moment: 0.000 μB/f.u.


# 7
# KRhPb

KRhPb at its PBEsol-relaxed geometry (meta-GGA SCAN, Alexandria).

Cell and atoms, written as POSCAR:
```
KRhPb
1.0
-4.361 1.157 1.503
-3.776 -2.436 -1.557
-2.344 -2.898 2.955
K Rh Pb
1 1 1
Cartesian
0.000 0.000 0.000 K
-2.620 -1.044 0.725 Rh
-5.241 -2.089 1.450 Pb
```

## Properties
Electronic total energy: -117.063 eV per formula unit
Crystal system: cubic
ρ: 7.62 g/cm3
Size of the total moment: 0.000 μB/f.u.


# 8
# KRhPb

KRhPb at its PBEsol-relaxed geometry (meta-GGA SCAN, Alexandria).

Cell and atoms, written as POSCAR:
```
KRhPb
1.0
4.841 0.000 0.000
2.421 4.193 0.000
2.421 1.398 3.953
Pb Rh K
1 1 1
Cartesian
0.000 0.000 0.000 Pb
4.841 2.795 1.976 Rh
2.421 1.398 0.988 K
```

## Properties
Electronic total energy: -114.428 eV per formula unit
Crystal system: cubic
ρ: 7.23 g/cm3
Size of the total moment: 0.000 μB/f.u.


# 9
# KRu2Pb

KRu2Pb at its PBEsol-relaxed geometry (meta-GGA SCAN, Alexandria).

Cell and atoms, written as POSCAR:
```
KRu2Pb
1.0
-2.036 -0.486 -2.056
3.188 -0.443 -3.052
0.305 -6.786 1.303
K Pb Ru
1 1 2
Cartesian
0.576 -0.465 -2.554 K
0.729 -3.858 -1.903 Pb
0.102 -2.271 0.436 Ru
0.203 -4.515 0.867 Ru
```

## Properties
Electronic total energy: -150.124 eV per formula unit
Crystal system: orthorhombic
ρ: 8.27 g/cm3
Size of the total moment: 1.556 μB/f.u.


# 10
# KRuPb

KRuPb at its PBEsol-relaxed geometry (meta-GGA SCAN, Alexandria).

Cell and atoms, written as POSCAR:
```
KRuPb
1.0
4.719 0.000 0.000
2.359 4.086 0.000
2.359 1.362 3.853
Pb K Ru
1 1 1
Cartesian
4.719 2.724 1.926 Pb
0.000 0.000 0.000 K
2.359 1.362 0.963 Ru
```

## Properties
Electronic total energy: -116.570 eV per formula unit
Crystal system: cubic
ρ: 7.76 g/cm3
Size of the total moment: 0.515 μB/f.u.


# 11
# KRu2Pb

KRu2Pb at its PBEsol-relaxed geometry (meta-GGA SCAN, Alexandria).

Cell and atoms, written as POSCAR:
```
KRu2Pb
1.0
-2.737 -3.103 -0.898
2.441 -1.216 -3.239
2.097 -2.589 2.553
K Ru Pb
1 2 1
Cartesian
0.900 -3.454 -0.792 K
1.220 -0.608 -1.619 Ru
-1.369 -1.551 -0.449 Ru
1.049 -1.295 1.276 Pb
```

## Properties
Electronic total energy: -148.879 eV per formula unit
Crystal system: tetragonal
ρ: 9.90 g/cm3
Size of the total moment: 2.715 μB/f.u.


# 12
# KPb3S

KPb3S at its PBEsol-relaxed geometry (meta-GGA SCAN, Alexandria).

Cell and atoms, written as POSCAR:
```
KPb3S
1.0
-4.101 -4.031 0.940
3.326 -2.421 4.126
-2.464 3.441 4.005
S K Pb
1 1 3
Cartesian
-1.620 -1.506 4.536 S
0.000 0.000 0.000 K
1.663 -1.211 2.063 Pb
-1.232 1.720 2.003 Pb
-2.051 -2.016 0.470 Pb
```

## Properties
Crystal system: cubic
ρ: 5.81 g/cm3
Size of the total moment: 0.000 μB/f.u.
Formation energy without anion corrections: 28.72 kcal/mol of atoms


# 13
# KPb2S2

KPb2S2 at its PBEsol-relaxed geometry (meta-GGA SCAN, Alexandria).

Cell and atoms, written as POSCAR:
```
KPb2S2
1.0
5.361 0.000 0.000
0.000 5.361 0.000
-2.680 -2.680 5.164
S K Pb
2 1 2
Cartesian
0.000 2.680 2.582 S
2.680 0.000 2.582 S
0.000 0.000 0.000 K
0.000 0.000 3.527 Pb
2.680 2.680 1.637 Pb
```

## Properties
Crystal system: tetragonal
ρ: 5.79 g/cm3
Size of the total moment: 0.000 μB/f.u.
Formation energy without anion corrections: -13.77 kcal/mol of atoms


# 14
# KZrPb2S

KZrPb2S at its PBEsol-relaxed geometry (meta-GGA SCAN, Alexandria).

Cell and atoms, written as POSCAR:
```
KZrPb2S
1.0
4.861 0.000 0.000
0.000 5.616 0.000
0.000 0.000 5.616
Pb Zr K S
2 1 1 1
Cartesian
0.000 2.808 0.000 Pb
0.000 0.000 2.808 Pb
2.431 0.000 0.000 Zr
0.000 0.000 0.000 K
2.431 2.808 2.808 S
```

## Properties
Crystal system: tetragonal
ρ: 6.25 g/cm3
Size of the total moment: 0.009 μB/f.u.
Formation energy without anion corrections: 36.51 kcal/mol of atoms


# 15
# KSbPb2

KSbPb2 at its PBEsol-relaxed geometry (meta-GGA SCAN, Alexandria).

Cell and atoms, written as POSCAR:
```
KSbPb2
1.0
4.477 0.000 0.000
0.000 5.030 0.000
-2.238 -2.515 5.760
Sb Pb K
1 2 1
Cartesian
0.000 0.000 5.589 Sb
2.238 2.515 5.628 Pb
2.238 0.000 3.508 Pb
0.000 2.515 2.555 K
```

## Properties
Crystal system: orthorhombic
ρ: 7.36 g/cm3
Size of the total moment: 0.000 μB/f.u.
Formation energy without anion corrections: -5.15 kcal/mol of atoms


# 16
# KSb2Pb2

KSb2Pb2 at its PBEsol-relaxed geometry (meta-GGA SCAN, Alexandria).

Cell and atoms, written as POSCAR:
```
KSb2Pb2
1.0
5.593 0.000 0.000
0.000 5.593 0.000
-2.797 -2.797 5.696
Pb K Sb
2 1 2
Cartesian
0.000 0.000 4.117 Pb
2.797 2.797 1.580 Pb
0.000 0.000 0.000 K
0.000 2.797 2.848 Sb
2.797 0.000 2.848 Sb
```

## Properties
Crystal system: tetragonal
ρ: 6.49 g/cm3
Size of the total moment: 0.000 μB/f.u.
Formation energy without anion corrections: -3.60 kcal/mol of atoms


# 17
# KSb2Pb

KSb2Pb at its PBEsol-relaxed geometry (meta-GGA SCAN, Alexandria).

Cell and atoms, written as POSCAR:
```
KSb2Pb
1.0
-0.119 0.485 4.819
3.582 -3.235 0.414
1.595 5.022 -2.901
K Sb Pb
1 2 1
Cartesian
1.731 -1.375 2.617 K
1.603 2.066 2.267 Sb
0.000 0.000 0.000 Sb
3.454 0.206 0.065 Pb
```

## Properties
Crystal system: tetragonal
ρ: 7.01 g/cm3
Size of the total moment: 0.000 μB/f.u.
Formation energy without anion corrections: -1.17 kcal/mol of atoms


# 18
# KSbPb2

KSbPb2 at its PBEsol-relaxed geometry (meta-GGA SCAN, Alexandria).

Cell and atoms, written as POSCAR:
```
KSbPb2
1.0
4.233 0.000 0.000
0.000 4.233 0.000
0.000 0.000 7.339
Pb Sb K
2 1 1
Cartesian
0.000 0.000 0.343 Pb
2.116 2.116 1.957 Pb
0.000 0.000 3.262 Sb
2.116 2.116 5.446 K
```

## Properties
Crystal system: tetragonal
ρ: 7.27 g/cm3
Size of the total moment: 0.000 μB/f.u.
Formation energy without anion corrections: -4.66 kcal/mol of atoms


# 19
# KSb2Pb

KSb2Pb at its PBEsol-relaxed geometry (meta-GGA SCAN, Alexandria).

Cell and atoms, written as POSCAR:
```
KSb2Pb
1.0
-0.655 3.208 -2.800
-3.459 -2.053 -1.542
-4.083 3.309 4.752
Sb Pb K
2 1 1
Cartesian
-2.841 2.303 3.306 Sb
-1.897 4.214 -1.354 Sb
-4.098 2.232 0.205 Pb
-2.057 0.577 -2.171 K
```

## Properties
Crystal system: tetragonal
ρ: 6.19 g/cm3
Size of the total moment: 0.000 μB/f.u.
Formation energy without anion corrections: -4.59 kcal/mol of atoms


# 20
# KSb2Pb2

KSb2Pb2 at its PBEsol-relaxed geometry (meta-GGA SCAN, Alexandria).

Cell and atoms, written as POSCAR:
```
KSb2Pb2
1.0
3.922 0.000 0.000
0.000 8.960 0.000
0.000 0.000 8.960
Sb Pb K
4 4 2
Cartesian
1.961 1.399 5.879 Sb
1.961 3.081 1.399 Sb
1.961 7.561 3.081 Sb
1.961 5.879 7.561 Sb
0.000 7.792 5.648 Pb
0.000 3.312 7.792 Pb
0.000 5.648 1.168 Pb
0.000 1.168 3.312 Pb
0.000 4.480 4.480 K
0.000 0.000 0.000 K
```

## Properties
Crystal system: tetragonal
ρ: 7.35 g/cm3
Size of the total moment: 0.000 μB/f.u.
Formation energy without anion corrections: -2.93 kcal/mol of atoms


# 21
# KSbPb

KSbPb at its PBEsol-relaxed geometry (meta-GGA SCAN, Alexandria).

Cell and atoms, written as POSCAR:
```
KSbPb
1.0
-2.698 -0.576 -2.877
1.135 -3.809 -0.302
-3.444 0.593 5.872
Pb Sb K
1 1 1
Cartesian
-2.452 -2.825 0.104 Pb
-2.584 -0.978 2.619 Sb
-4.977 -3.780 2.663 K
```

## Properties
Crystal system: tetragonal
ρ: 6.18 g/cm3
Size of the total moment: 0.002 μB/f.u.
Formation energy without anion corrections: -6.65 kcal/mol of atoms


# 22
# KSbPb

KSbPb at its PBEsol-relaxed geometry (meta-GGA SCAN, Alexandria).

Cell and atoms, written as POSCAR:
```
KSbPb
1.0
-0.962 -4.197 -1.300
3.632 0.793 2.532
-3.453 -0.821 5.209
Pb Sb K
1 1 1
Cartesian
0.003 -1.369 4.419 Pb
-0.731 -2.843 1.939 Sb
-0.056 -0.013 0.084 K
```

## Properties
Crystal system: trigonal
ρ: 5.53 g/cm3
Size of the total moment: 0.000 μB/f.u.
Formation energy without anion corrections: -8.86 kcal/mol of atoms


# 23
# KSb2Pb

KSb2Pb at its PBEsol-relaxed geometry (meta-GGA SCAN, Alexandria).

Cell and atoms, written as POSCAR:
```
KSb2Pb
1.0
-0.954 0.349 3.889
4.142 -4.166 -0.688
3.173 5.303 0.302
Pb K Sb
1 1 2
Cartesian
-0.477 0.175 1.945 Pb
1.587 2.651 0.151 K
2.286 -1.027 0.653 Sb
4.075 2.513 2.851 Sb
```

## Properties
Crystal system: monoclinic
ρ: 6.10 g/cm3
Size of the total moment: 0.000 μB/f.u.
Formation energy without anion corrections: -4.44 kcal/mol of atoms


# 24
# KSb2Pb

KSb2Pb at its PBEsol-relaxed geometry (meta-GGA SCAN, Alexandria).

Cell and atoms, written as POSCAR:
```
KSb2Pb
1.0
-3.129 4.569 3.433
-6.700 -1.392 1.929
0.521 -0.320 7.083
K Sb Pb
2 4 2
Cartesian
-3.871 0.286 5.364 K
-1.564 2.284 1.717 K
-5.852 3.337 4.136 Sb
-8.295 1.509 7.434 Sb
-4.237 0.663 9.167 Sb
-0.230 0.206 4.152 Sb
0.000 0.000 0.000 Pb
-5.436 2.571 7.081 Pb
```

## Properties
Crystal system: tetragonal
ρ: 6.25 g/cm3
Size of the total moment: 0.000 μB/f.u.
Formation energy without anion corrections: -1.65 kcal/mol of atoms


# 25
# K2SbPb

K2SbPb at its PBEsol-relaxed geometry (meta-GGA SCAN, Alexandria).

Cell and atoms, written as POSCAR:
```
K2SbPb
1.0
4.427 0.000 0.000
0.000 5.760 0.000
-2.213 -2.880 5.594
Pb Sb K
1 1 2
Cartesian
2.213 2.880 0.456 Pb
0.000 2.880 2.395 Sb
2.213 0.000 2.999 K
2.213 2.880 5.339 K
```

## Properties
Crystal system: orthorhombic
ρ: 4.74 g/cm3
Size of the total moment: 0.000 μB/f.u.
Formation energy without anion corrections: -9.68 kcal/mol of atoms


# 26
# KSb2Pb

KSb2Pb at its PBEsol-relaxed geometry (meta-GGA SCAN, Alexandria).

Cell and atoms, written as POSCAR:
```
KSb2Pb
1.0
-1.555 -2.729 -0.667
3.085 -0.608 -4.704
4.477 -3.373 3.372
Pb K Sb
1 1 2
Cartesian
2.605 -1.107 -1.551 Pb
1.472 -3.060 1.361 K
3.413 -5.608 -0.440 Sb
4.455 -3.359 3.356 Sb
```

## Properties
Crystal system: orthorhombic
ρ: 6.84 g/cm3
Size of the total moment: 0.000 μB/f.u.
Formation energy without anion corrections: -4.45 kcal/mol of atoms


# 27
# KSb2Pb

KSb2Pb at its PBEsol-relaxed geometry (meta-GGA SCAN, Alexandria).

Cell and atoms, written as POSCAR:
```
KSb2Pb
1.0
4.042 0.000 0.000
-2.021 5.408 -0.010
0.000 -1.578 5.882
K Sb Pb
1 2 1
Cartesian
2.021 -0.745 2.950 K
2.021 3.777 5.763 Sb
0.000 1.599 4.882 Sb
2.021 2.239 1.089 Pb
```

## Properties
Crystal system: monoclinic
ρ: 6.33 g/cm3
Size of the total moment: 0.000 μB/f.u.
Formation energy without anion corrections: -4.65 kcal/mol of atoms


# 28
# K2SbPb

K2SbPb at its PBEsol-relaxed geometry (meta-GGA SCAN, Alexandria).

Cell and atoms, written as POSCAR:
```
K2SbPb
1.0
5.335 0.000 0.000
-2.667 5.366 0.042
0.000 2.615 4.650
Sb K Pb
1 2 1
Cartesian
2.667 4.644 3.509 Sb
0.000 3.337 1.184 K
0.000 0.000 0.000 K
2.667 1.308 2.325 Pb
```

## Properties
Crystal system: tetragonal
ρ: 5.10 g/cm3
Size of the total moment: 0.000 μB/f.u.
Formation energy without anion corrections: -6.39 kcal/mol of atoms


# 29
# KScPb

KScPb at its PBEsol-relaxed geometry (meta-GGA SCAN, Alexandria).

Cell and atoms, written as POSCAR:
```
KScPb
1.0
-2.215 0.868 4.692
0.329 -3.645 3.778
3.024 0.850 4.219
Sc K Pb
1 1 1
Cartesian
0.000 0.000 0.000 Sc
0.569 -0.964 6.345 K
0.285 -0.482 3.172 Pb
```

## Properties
Electronic total energy: -98.293 eV per formula unit
Crystal system: cubic
ρ: 4.70 g/cm3
Size of the total moment: 0.000 μB/f.u.


# 30
# K2ScPb

K2ScPb at its PBEsol-relaxed geometry (meta-GGA SCAN, Alexandria).

Cell and atoms, written as POSCAR:
```
K2ScPb
1.0
-1.697 1.604 2.861
-2.311 -1.960 2.112
8.206 -3.330 9.119
Sc Pb K
1 1 2
Cartesian
1.491 -1.070 3.868 Sc
1.862 -1.763 6.860 Pb
2.681 -2.607 10.203 K
-3.745 -0.444 5.179 K
```

## Properties
Electronic total energy: -106.252 eV per formula unit
Crystal system: trigonal
ρ: 3.71 g/cm3
Size of the total moment: 0.560 μB/f.u.